# 1
# Nd2ThMg GGA-PBE optimized geometry
# - Relative energy among the computed polymorphs: 237 meV per atom
# - Formation energy from the elements: 0.189 eV/atom
data_Nd2ThMg
_chemical_formula_sum 'Nd2 Th1 Mg1'
_cell_length_a 3.546
_cell_length_b 3.546
_cell_length_c 12.610
_cell_angle_alpha 81.92
_cell_angle_beta 81.92
_cell_angle_gamma 60.00
_symmetry_space_group_name_H-M 'P 1'
_symmetry_Int_Tables_number 1
loop_
_symmetry_equiv_pos_as_xyz
'x,y,z'
loop_
_atom_site_label
_atom_site_type_symbol
_atom_site_fract_x
_atom_site_fract_y
_atom_site_fract_z
Mg1 Mg 0.000 0.000 0.000
Nd1 Nd 0.090 0.090 0.731
Th1 Th 0.500 0.500 0.500
Nd2 Nd 0.910 0.910 0.269



# 2
# NdYThMg GGA-PBE optimized geometry
# - Relative energy among the computed polymorphs: 203 meV per atom
# - Formation energy from the elements: 0.155 eV/atom
data_NdYThMg
_chemical_formula_sum 'Nd1 Y1 Th1 Mg1'
_cell_length_a 5.589
_cell_length_b 5.589
_cell_length_c 5.589
_cell_angle_alpha 60.00
_cell_angle_beta 60.00
_cell_angle_gamma 60.00
_symmetry_space_group_name_H-M 'P 1'
_symmetry_Int_Tables_number 1
loop_
_symmetry_equiv_pos_as_xyz
'x,y,z'
loop_
_atom_site_label
_atom_site_type_symbol
_atom_site_fract_x
_atom_site_fract_y
_atom_site_fract_z
Mg1 Mg 0.000 0.000 0.000
Nd1 Nd 0.250 0.250 0.250
Y1 Y 0.750 0.750 0.750
Th1 Th 0.500 0.500 0.500